(1)
Compound: SmTmHg2
Source: the Alexandria database
Functional: GGA-PBEsol
Structure: optimized geometry Values from VASP.

raw total energy: -0.12280 Ha/atom
magnetic moment: 0.003 μB/atom
SG: No. 225
DOS at the Fermi energy: 4.17 states/eV/f.u.
E_form: -2.2 eV per formula unit

Quantum ESPRESSO input file:
```
&SYSTEM
  ibrav = 0, nat = 4, ntyp = 3
/
ATOMIC_SPECIES
Sm 150.36 Sm.upf
Tm 168.93 Tm.upf
Hg 200.59 Hg.upf
ATOMIC_POSITIONS crystal
Sm 0.000 0.000 0.000
Tm 0.500 0.500 0.500
Hg 0.250 0.250 0.250
Hg 0.750 0.750 0.750
CELL_PARAMETERS angstrom
0.000 3.669 3.669
3.669 0.000 3.669
3.669 3.669 0.000
```

(2)
Compound: SnHg3
Source: the Alexandria database
Functional: GGA-PBEsol
Structure: optimized geometry Values from VASP.

raw total energy: -0.05301 Ha/atom
magnetic moment: 0.000 μB/atom
SG: No. 194
DOS at the Fermi energy: 2.00 states/eV/f.u.
E_form: 0.2 eV per formula unit

Quantum ESPRESSO input file:
```
&SYSTEM
  ibrav = 0, nat = 8, ntyp = 2
/
ATOMIC_SPECIES
Sn 118.71 Sn.upf
Hg 200.59 Hg.upf
ATOMIC_POSITIONS crystal
Sn 0.333 0.667 0.250
Sn 0.667 0.333 0.750
Hg 0.166 0.332 0.750
Hg 0.166 0.834 0.750
Hg 0.332 0.166 0.250
Hg 0.668 0.834 0.750
Hg 0.834 0.166 0.250
Hg 0.834 0.668 0.250
CELL_PARAMETERS angstrom
6.361 0.000 0.000
-3.181 5.509 0.000
0.000 0.000 5.390
```